# 1
VASP calculation (GGA-PBE) on an optimized crystal structure of Er4TmRh2.

Cell lengths 7.777, 6.269, 7.787 Å; angles 90.00, 112.49, 90.00 degrees
Space group P2_1/m (No. 11)
Inequivalent atoms, fractional coordinates:
Er: 0.117 0.250 0.482
Er: 0.165 0.750 0.253
Er: 0.263 0.502 0.912
Tm: 0.473 0.250 0.340
Rh: 0.089 0.250 0.125
Rh: 0.488 0.250 0.753

As for the calculated density: 9.9 g cm⁻³. The density of states at the Fermi level comes out at 14.841 states/eV per cell. Its energy relative to the elements is -514 meV/atom. The total energy is -82.044 eV for the cell shown. The calculated volume comes out at 25.06 A^3/atom.



# 2
VASP calculation (GGA-PBE) on an optimized crystal structure of Er2Tm3Rh2.

Cell lengths 11.834, 3.762, 8.779 Å; angles 90.00, 116.25, 90.00 degrees
Space group C2/m (No. 12)
Inequivalent atoms, fractional coordinates:
Er: 0.165 0.000 0.307
Tm: 0.000 0.500 0.500
Tm: 0.116 0.500 0.931
Rh: 0.176 0.000 0.739

As for the calculated density: 9.9 g cm⁻³. The density of states at the Fermi level comes out at 12.442 states/eV per cell. Its energy relative to the elements is -623 meV/atom. The total energy is -83.211 eV for the cell shown. The calculated volume comes out at 25.04 A^3/atom.



# 3
VASP calculation (GGA-PBE) on an optimized crystal structure of Er2TmRh.

Cell lengths 7.103, 9.305, 6.254 Å; angles 90.00, 90.00, 90.00 degrees
Space group Pnma (No. 62)
Inequivalent atoms, fractional coordinates:
Er: 0.179 0.063 0.174
Tm: 0.035 0.250 0.633
Rh: 0.115 0.750 0.951

The excess energy over the best structure of this formula in the dataset comes out at 0.000 eV per atom. As for the calculated density: 9.7 g cm⁻³. The density of states at the Fermi level comes out at 17.677 states/eV per cell. Its energy relative to the elements is -559 meV/atom. The total energy is -92.734 eV for the cell shown. The calculated volume comes out at 25.83 A^3/atom.



# 4
VASP calculation (GGA-PBE) on an optimized crystal structure of ErTm3Rh2.

Cell lengths 4.543, 8.679, 7.148 Å; angles 90.00, 90.00, 90.00 degrees
Space group Pmc2_1 (No. 26)
Inequivalent atoms, fractional coordinates:
Er: 0.000 0.086 0.000
Tm: 0.000 0.330 0.630
Tm: 0.500 0.171 0.347
Tm: 0.500 0.414 0.976
Rh: 0.000 0.343 0.231
Rh: 0.500 0.158 0.745

The excess energy over the best structure of this formula in the dataset comes out at 0.000 eV per atom. As for the calculated density: 10.4 g cm⁻³. The density of states at the Fermi level comes out at 11.219 states/eV per cell. Its energy relative to the elements is -707 meV/atom. The total energy is -73.845 eV for the cell shown. The calculated volume comes out at 23.49 A^3/atom.



# 5
VASP calculation (GGA-PBE) on an optimized crystal structure of ErTm2Rh4.

Cell lengths 4.6083, 4.6083, 22.8779 Å; angles 90.00, 90.00, 120.00 degrees
Space group R-3m (No. 166, hexagonal axes)
Inequivalent atoms, fractional coordinates:
Er: 0.0000 0.0000 0.0000
Tm: 0.0000 0.0000 0.2397
Rh: 0.0000 0.0000 0.1215
Rh: 0.0000 0.0000 0.3755

As for the calculated density: 10.9 g cm⁻³. The density of states at the Fermi level comes out at 10.886 states/eV per cell. Its energy relative to the elements is -611 meV/atom. The total energy is -141.566 eV for the cell shown. The calculated volume comes out at 20.04 A^3/atom.



# 6
VASP calculation (GGA-PBE) on an optimized crystal structure of Er2TmRh4.

Cell lengths 4.769, 4.769, 12.350 Å; angles 90.00, 90.00, 90.00 degrees
Space group I4/mmm (No. 139)
Inequivalent atoms, fractional coordinates:
Er: 0.000 0.000 0.227
Tm: 0.000 0.000 0.500
Rh: 0.000 0.500 0.121

As for the calculated density: 10.8 g cm⁻³. The density of states at the Fermi level comes out at 5.833 states/eV per cell. Its energy relative to the elements is -597 meV/atom. The total energy is -94.358 eV for the cell shown. The calculated volume comes out at 20.07 A^3/atom.